Entry 1:
Density functional theory data (PBE) for a relaxed structure of Y3Tl4GeTe8.

Lattice parameters (Å, degrees): 8.9054 8.9054 23.8878 90.00 90.00 120.00
Space group R-3m (No. 166, hexagonal axes)
One atom of each set of equivalent atoms:
Y1 0.0000 0.5000 0.0000 [9 per cell]
Tl1 0.0000 0.0000 0.5000 [3 per cell]
Tl2 0.0000 0.5000 0.5000 [9 per cell]
Ge1 0.0000 0.0000 0.0000 [3 per cell]
Te1 0.0000 0.0000 0.2606 [6 per cell]
Te2 0.0057 0.5029 0.7368 [18 per cell]

## Properties
For the total moment, the calculation gives 0.0 μB/f.u. The value obtained for the density of states at the Fermi level is 9.878 states/eV/f.u. Its formation energy without anion corrections is -821 meV per atom.

---

Entry 2:
Density functional theory data (PBE) for a relaxed structure of YTl2GeTe4.

Lattice parameters (Å, degrees): 7.775 4.388 8.184 90.00 108.67 90.00
Space group P2/m (No. 10)
One atom of each set of equivalent atoms:
Y1 0.000 0.000 0.000 [1 per cell]
Tl1 0.000 0.500 0.500 [1 per cell]
Tl2 0.500 0.000 0.500 [1 per cell]
Ge1 0.500 0.500 0.000 [1 per cell]
Te1 0.246 0.500 0.214 [2 per cell]
Te2 0.265 0.000 0.787 [2 per cell]

## Properties
For the total moment, the calculation gives 0.0 μB/f.u. The value obtained for the density of states at the Fermi level is 5.614 states/eV/f.u. Its formation energy without anion corrections is -571 meV per atom.

---

Entry 3:
Density functional theory data (PBE) for a relaxed structure of ZrTl3Ge2Te6.

Lattice parameters (Å, degrees): 7.523 13.014 8.178 90.00 108.06 90.00
Space group C2/m (No. 12)
One atom of each set of equivalent atoms:
Zr1 0.000 0.000 0.000 [2 per cell]
Tl1 0.000 0.167 0.500 [4 per cell]
Tl2 0.000 0.500 0.500 [2 per cell]
Ge1 0.000 0.333 0.000 [4 per cell]
Te1 0.232 0.164 0.203 [8 per cell]
Te2 0.241 0.500 0.205 [4 per cell]

## Properties
For the total moment, the calculation gives 0.0 μB/f.u. The value obtained for the density of states at the Fermi level is 6.367 states/eV/f.u. Its formation energy without anion corrections is -372 meV per atom.

---

It is found that the electronic total energy values, taken in the order of the records, are -0.3296 -0.3027 -0.2952 Ry per atom.